1:
# Ac3LaCd

A geometry-optimized Ac3LaCd structure (PBE, Alexandria via LeMat-Bulk).

Geometry as CIF:
```
data_Ac3LaCd
_space_group_name_H-M_alt 'P 1'
_space_group_IT_number 1
_cell_length_a 11.5379
_cell_length_b 11.5379
_cell_length_c 9.1426
_cell_angle_alpha 90.11
_cell_angle_beta 90.11
_cell_angle_gamma 19.57
loop_
_space_group_symop_operation_xyz
'x,y,z'
loop_
_atom_site_label
_atom_site_type_symbol
_atom_site_fract_x
_atom_site_fract_y
_atom_site_fract_z
Ac1 Ac 0.0336 0.0336 0.2279
Ac2 Ac 0.1817 0.1817 0.5675
Ac3 Ac 0.3842 0.3842 0.0956
Ac4 Ac 0.6158 0.6158 0.9044
Ac5 Ac 0.8183 0.8183 0.4325
Ac6 Ac 0.9664 0.9664 0.7721
La1 La 0.2187 0.2187 0.1540
La2 La 0.7813 0.7813 0.8460
Cd1 Cd 0.4397 0.4397 0.4501
Cd2 Cd 0.5603 0.5603 0.5499
```

## Properties
Total magnetic moment in Bohr magnetons per cell: 0.00

2:
# Ac3LaCd

A geometry-optimized Ac3LaCd structure (PBE, Alexandria via LeMat-Bulk).

Geometry as CIF:
```
data_Ac3LaCd
_space_group_name_H-M_alt 'P 1'
_space_group_IT_number 1
_cell_length_a 10.4080
_cell_length_b 7.4527
_cell_length_c 12.6260
_cell_angle_alpha 90.00
_cell_angle_beta 125.86
_cell_angle_gamma 90.00
loop_
_space_group_symop_operation_xyz
'x,y,z'
loop_
_atom_site_label
_atom_site_type_symbol
_atom_site_fract_x
_atom_site_fract_y
_atom_site_fract_z
Ac1 Ac 0.0429 0.1068 0.3090
Ac2 Ac 0.0429 0.3932 0.8090
Ac3 Ac 0.3502 0.1611 0.7366
Ac4 Ac 0.3502 0.3389 0.2366
Ac5 Ac 0.3715 0.6729 0.8792
Ac6 Ac 0.3715 0.8271 0.3792
Ac7 Ac 0.6285 0.1729 0.6208
Ac8 Ac 0.6285 0.3271 0.1208
Ac9 Ac 0.6498 0.6611 0.7634
Ac10 Ac 0.6498 0.8389 0.2634
Ac11 Ac 0.9571 0.6068 0.1910
Ac12 Ac 0.9571 0.8932 0.6910
La1 La 0.0951 0.7288 0.5174
La2 La 0.0951 0.7712 0.0174
La3 La 0.9049 0.2288 0.9826
La4 La 0.9049 0.2712 0.4826
Cd1 Cd 0.3071 0.0603 0.9967
Cd2 Cd 0.3071 0.4397 0.4967
Cd3 Cd 0.6929 0.5603 0.5033
Cd4 Cd 0.6929 0.9397 0.0033
```

## Properties
Total magnetic moment in Bohr magnetons per cell: 0.00

Which structure loses on stability? 1 does.

1:
# AcLaMgCd

A geometry-optimized AcLaMgCd structure (PBE, Alexandria via LeMat-Bulk).

Geometry as CIF:
```
data_AcLaMgCd
_space_group_name_H-M_alt 'P 1'
_space_group_IT_number 1
_cell_length_a 5.6825
_cell_length_b 5.6825
_cell_length_c 5.6825
_cell_angle_alpha 60.00
_cell_angle_beta 60.00
_cell_angle_gamma 60.00
loop_
_space_group_symop_operation_xyz
'x,y,z'
loop_
_atom_site_label
_atom_site_type_symbol
_atom_site_fract_x
_atom_site_fract_y
_atom_site_fract_z
Ac1 Ac 0.0000 0.0000 0.0000
La1 La 0.5000 0.5000 0.5000
Mg1 Mg 0.2500 0.2500 0.2500
Cd1 Cd 0.7500 0.7500 0.7500
```

## Properties
Total magnetic moment in Bohr magnetons per cell: 0.00

2:
# AcLaMgCd

A geometry-optimized AcLaMgCd structure (PBE, Alexandria via LeMat-Bulk).

Geometry as CIF:
```
data_AcLaMgCd
_space_group_name_H-M_alt 'P 1'
_space_group_IT_number 1
_cell_length_a 4.0316
_cell_length_b 4.0316
_cell_length_c 8.0086
_cell_angle_alpha 90.00
_cell_angle_beta 90.00
_cell_angle_gamma 90.00
loop_
_space_group_symop_operation_xyz
'x,y,z'
loop_
_atom_site_label
_atom_site_type_symbol
_atom_site_fract_x
_atom_site_fract_y
_atom_site_fract_z
Ac1 Ac 0.0000 0.0000 0.0000
La1 La 0.0000 0.0000 0.4979
Mg1 Mg 0.5000 0.5000 0.7336
Cd1 Cd 0.5000 0.5000 0.2672
```

## Properties
Total magnetic moment in Bohr magnetons per cell: 0.00

Which structure loses on stability? 1 does.

1:
# AcLaPmCd

A geometry-optimized AcLaPmCd structure (PBE, Alexandria via LeMat-Bulk).

Geometry as CIF:
```
data_AcLaPmCd
_space_group_name_H-M_alt 'P 1'
_space_group_IT_number 1
_cell_length_a 5.7657
_cell_length_b 5.7657
_cell_length_c 5.7657
_cell_angle_alpha 60.00
_cell_angle_beta 60.00
_cell_angle_gamma 60.00
loop_
_space_group_symop_operation_xyz
'x,y,z'
loop_
_atom_site_label
_atom_site_type_symbol
_atom_site_fract_x
_atom_site_fract_y
_atom_site_fract_z
Ac1 Ac 0.0000 0.0000 0.0000
La1 La 0.2500 0.2500 0.2500
Pm1 Pm 0.7500 0.7500 0.7500
Cd1 Cd 0.5000 0.5000 0.5000
```

## Properties
Total magnetic moment in Bohr magnetons per cell: 0.00

2:
# AcLaPmCd

A geometry-optimized AcLaPmCd structure (PBE, Alexandria via LeMat-Bulk).

Geometry as CIF:
```
data_AcLaPmCd
_space_group_name_H-M_alt 'P 1'
_space_group_IT_number 1
_cell_length_a 3.8716
_cell_length_b 3.8716
_cell_length_c 9.1340
_cell_angle_alpha 90.00
_cell_angle_beta 90.00
_cell_angle_gamma 90.00
loop_
_space_group_symop_operation_xyz
'x,y,z'
loop_
_atom_site_label
_atom_site_type_symbol
_atom_site_fract_x
_atom_site_fract_y
_atom_site_fract_z
Ac1 Ac 0.0000 0.0000 0.0000
La1 La 0.5000 0.5000 0.7104
Pm1 Pm 0.5000 0.5000 0.2819
Cd1 Cd 0.0000 0.0000 0.4852
```

## Properties
Total magnetic moment in Bohr magnetons per cell: 0.00

Which structure loses on stability? 1 does.

1:
# AcLaSmCd

A geometry-optimized AcLaSmCd structure (PBE, Alexandria via LeMat-Bulk).

Geometry as CIF:
```
data_AcLaSmCd
_space_group_name_H-M_alt 'P 1'
_space_group_IT_number 1
_cell_length_a 3.8628
_cell_length_b 3.8628
_cell_length_c 9.1270
_cell_angle_alpha 90.00
_cell_angle_beta 90.00
_cell_angle_gamma 90.00
loop_
_space_group_symop_operation_xyz
'x,y,z'
loop_
_atom_site_label
_atom_site_type_symbol
_atom_site_fract_x
_atom_site_fract_y
_atom_site_fract_z
Ac1 Ac 0.0000 0.0000 0.0000
La1 La 0.5000 0.5000 0.7092
Sm1 Sm 0.5000 0.5000 0.2815
Cd1 Cd 0.0000 0.0000 0.4826
```

## Properties
Total magnetic moment in Bohr magnetons per cell: 0.00

2:
# AcLaSmCd

A geometry-optimized AcLaSmCd structure (PBE, Alexandria via LeMat-Bulk).

Geometry as CIF:
```
data_AcLaSmCd
_space_group_name_H-M_alt 'P 1'
_space_group_IT_number 1
_cell_length_a 5.7561
_cell_length_b 5.7561
_cell_length_c 5.7561
_cell_angle_alpha 60.00
_cell_angle_beta 60.00
_cell_angle_gamma 60.00
loop_
_space_group_symop_operation_xyz
'x,y,z'
loop_
_atom_site_label
_atom_site_type_symbol
_atom_site_fract_x
_atom_site_fract_y
_atom_site_fract_z
Ac1 Ac 0.0000 0.0000 0.0000
La1 La 0.7500 0.7500 0.7500
Sm1 Sm 0.2500 0.2500 0.2500
Cd1 Cd 0.5000 0.5000 0.5000
```

## Properties
Total magnetic moment in Bohr magnetons per cell: 0.00

Which structure loses on stability? 2 does.

1:
# AcLaTbCd

A geometry-optimized AcLaTbCd structure (PBE, Alexandria via LeMat-Bulk).

Geometry as CIF:
```
data_AcLaTbCd
_space_group_name_H-M_alt 'P 1'
_space_group_IT_number 1
_cell_length_a 3.8350
_cell_length_b 3.8350
_cell_length_c 9.1209
_cell_angle_alpha 90.00
_cell_angle_beta 90.00
_cell_angle_gamma 90.00
loop_
_space_group_symop_operation_xyz
'x,y,z'
loop_
_atom_site_label
_atom_site_type_symbol
_atom_site_fract_x
_atom_site_fract_y
_atom_site_fract_z
Ac1 Ac 0.0000 0.0000 0.0000
La1 La 0.5000 0.5000 0.7053
Tb1 Tb 0.5000 0.5000 0.2804
Cd1 Cd 0.0000 0.0000 0.4741
```

## Properties
Total magnetic moment in Bohr magnetons per cell: 0.00

2:
# AcLaTbCd

A geometry-optimized AcLaTbCd structure (PBE, Alexandria via LeMat-Bulk).

Geometry as CIF:
```
data_AcLaTbCd
_space_group_name_H-M_alt 'P 1'
_space_group_IT_number 1
_cell_length_a 5.7635
_cell_length_b 5.7635
_cell_length_c 5.7635
_cell_angle_alpha 60.00
_cell_angle_beta 60.00
_cell_angle_gamma 60.00
loop_
_space_group_symop_operation_xyz
'x,y,z'
loop_
_atom_site_label
_atom_site_type_symbol
_atom_site_fract_x
_atom_site_fract_y
_atom_site_fract_z
Ac1 Ac 0.0000 0.0000 0.0000
La1 La 0.5000 0.5000 0.5000
Tb1 Tb 0.2500 0.2500 0.2500
Cd1 Cd 0.7500 0.7500 0.7500
```

## Properties
Total magnetic moment in Bohr magnetons per cell: 0.00

Which structure loses on stability? 2 does.

1:
# Li2AcCd

A geometry-optimized Li2AcCd structure (PBE, Alexandria via LeMat-Bulk).

Geometry as CIF:
```
data_Li2AcCd
_space_group_name_H-M_alt 'P 1'
_space_group_IT_number 1
_cell_length_a 5.2426
_cell_length_b 5.2426
_cell_length_c 5.2426
_cell_angle_alpha 60.00
_cell_angle_beta 60.00
_cell_angle_gamma 60.00
loop_
_space_group_symop_operation_xyz
'x,y,z'
loop_
_atom_site_label
_atom_site_type_symbol
_atom_site_fract_x
_atom_site_fract_y
_atom_site_fract_z
Li1 Li 0.2500 0.2500 0.2500
Li2 Li 0.7500 0.7500 0.7500
Ac1 Ac 0.0000 0.0000 0.0000
Cd1 Cd 0.5000 0.5000 0.5000
```

## Properties
Total magnetic moment in Bohr magnetons per cell: 0.00

2:
# Li2AcCd

A geometry-optimized Li2AcCd structure (PBE, Alexandria via LeMat-Bulk).

Geometry as CIF:
```
data_Li2AcCd
_space_group_name_H-M_alt 'P 1'
_space_group_IT_number 1
_cell_length_a 5.9585
_cell_length_b 5.9585
_cell_length_c 5.9585
_cell_angle_alpha 47.44
_cell_angle_beta 47.44
_cell_angle_gamma 47.44
loop_
_space_group_symop_operation_xyz
'x,y,z'
loop_
_atom_site_label
_atom_site_type_symbol
_atom_site_fract_x
_atom_site_fract_y
_atom_site_fract_z
Li1 Li 0.2083 0.2083 0.2083
Li2 Li 0.7917 0.7917 0.7917
Ac1 Ac 0.0000 0.0000 0.0000
Cd1 Cd 0.5000 0.5000 0.5000
```

## Properties
Total magnetic moment in Bohr magnetons per cell: 0.00

Which structure loses on stability? 1 does.